Version w
TaTl2Br: optimized geometry, PBE.

Geometry as extended XYZ:
```
8
Lattice="3.093 0.000 0.000 0.000 4.671 0.000 0.000 0.000 14.731" Properties=species:S:1:pos:R:3 pbc="T T T"
Ta 0.000 0.000 0.000
Ta 1.546 2.336 7.365
Tl 0.000 2.336 4.636
Tl 0.000 2.336 10.095
Tl 1.546 0.000 2.730
Tl 1.546 0.000 12.001
Br 0.000 0.000 7.365
Br 1.546 2.336 0.000
```

Calculated values
**Magnetic moment**: 1.7 μB/cell

Version x
TaTl2Br: optimized geometry, PBE.

Geometry as extended XYZ:
```
4
Lattice="3.340 0.000 0.000 0.000 4.893 0.000 -1.662 0.000 5.814" Properties=species:S:1:pos:R:3 pbc="T T T"
Ta 0.000 0.000 0.000
Tl 0.013 0.000 2.998
Tl 1.671 2.447 0.908
Br 1.678 2.447 4.136
```

Calculated values
**Magnetic moment**: 0.0 μB/cell

The energy of each structure relative to the most stable one, in kJ/mol of atoms, is as follows: version w 9.5; version x 0.0.

Version w
BaNaSr2: optimized geometry, PBE.

Geometry as extended XYZ:
```
16
Lattice="5.509 0.000 0.000 0.000 5.509 0.000 0.000 0.000 29.017" Properties=species:S:1:pos:R:3 pbc="T T T"
Ba 0.000 0.000 0.000
Ba 0.000 2.755 7.254
Ba 2.755 0.000 21.763
Ba 2.755 2.755 14.509
Na 0.000 0.000 14.509
Na 0.000 2.755 21.763
Na 2.755 0.000 7.254
Na 2.755 2.755 0.000
Sr 1.327 1.377 18.136
Sr 1.377 4.081 25.390
Sr 1.377 4.183 10.882
Sr 1.428 1.377 3.627
Sr 4.081 4.132 3.627
Sr 4.132 1.327 10.882
Sr 4.132 1.428 25.390
Sr 4.183 4.132 18.136
```

Calculated values
**Magnetic moment**: 0.0 μB/cell

Version x
BaNaSr2: optimized geometry, PBE.

Geometry as extended XYZ:
```
4
Lattice="5.895 0.000 0.000 0.000 5.895 0.000 0.000 0.000 6.179" Properties=species:S:1:pos:R:3 pbc="T T T"
Ba 0.000 0.000 0.000
Na 2.947 2.947 0.000
Sr 0.000 2.947 3.089
Sr 2.947 0.000 3.089
```

Calculated values
**Magnetic moment**: 0.0 μB/cell

The energy of each structure relative to the most stable one, in kJ/mol of atoms, is as follows: version w 16.6; version x 0.0.

Version w
TaW2Au: optimized geometry, PBE.

Geometry as extended XYZ:
```
4
Lattice="2.759 0.000 0.000 0.000 2.759 0.000 0.000 0.000 8.940" Properties=species:S:1:pos:R:3 pbc="T T T"
Ta 0.000 0.000 0.000
W 0.000 0.000 4.475
W 1.380 1.380 2.251
Au 1.380 1.380 6.683
```

Calculated values
**Magnetic moment**: 0.0 μB/cell

Version x
TaW2Au: optimized geometry, PBE.

Geometry as extended XYZ:
```
4
Lattice="3.319 0.000 0.000 0.000 3.319 0.000 0.000 0.000 6.177" Properties=species:S:1:pos:R:3 pbc="T T T"
Ta 0.000 0.000 0.000
W 0.000 0.000 2.936
W 1.660 1.660 1.537
Au 1.660 1.660 4.600
```

Calculated values
**Magnetic moment**: 0.0 μB/cell

The energy of each structure relative to the most stable one, in kJ/mol of atoms, is as follows: version w 8.6; version x 0.0.

Version w
NiMo2Cl: optimized geometry, PBE.

Geometry as extended XYZ:
```
4
Lattice="3.163 0.000 0.000 0.000 3.163 0.000 0.000 0.000 6.322" Properties=species:S:1:pos:R:3 pbc="T T T"
Ni 0.000 0.000 0.000
Mo 0.000 0.000 3.587
Mo 1.581 1.581 4.968
Cl 1.581 1.581 1.425
```

Calculated values
**Magnetic moment**: 0.0 μB/cell

Version x
NiMo2Cl: optimized geometry, PBE.

Geometry as extended XYZ:
```
8
Lattice="8.281 0.000 0.000 0.000 2.788 0.000 -0.964 0.000 5.141" Properties=species:S:1:pos:R:3 pbc="T T T"
Ni 0.000 0.000 0.000
Ni 4.141 1.394 0.000
Mo 1.805 1.394 1.198
Mo 1.371 0.000 3.943
Mo 5.945 0.000 1.198
Mo 5.512 1.394 3.943
Cl -0.482 1.394 2.571
Cl 3.658 0.000 2.571
```

Calculated values
**Magnetic moment**: 0.0 μB/cell

The energy of each structure relative to the most stable one, in kJ/mol of atoms, is as follows: version w 0.0; version x 18.7.

Version w
TiBeS2Cl: optimized geometry, PBE.

Geometry as extended XYZ:
```
5
Lattice="4.917 0.000 0.000 0.000 4.917 0.000 0.000 0.000 4.349" Properties=species:S:1:pos:R:3 pbc="T T T"
Ti 0.000 0.000 0.000
Be 2.458 2.458 0.000
S 0.000 2.458 2.174
S 2.458 0.000 2.174
Cl 0.000 0.000 2.174
```

Calculated values
**Magnetic moment**: 0.0 μB/cell

Version x
TiBeS2Cl: optimized geometry, PBE.

Geometry as extended XYZ:
```
5
Lattice="4.465 0.000 0.000 0.000 4.465 0.000 0.000 0.000 4.133" Properties=species:S:1:pos:R:3 pbc="T T T"
Ti 0.000 0.000 0.000
Be 2.233 2.233 2.066
S 0.000 2.233 2.066
S 2.233 0.000 2.066
Cl 2.233 2.233 0.000
```

Calculated values
**Magnetic moment**: 0.0 μB/cell

The energy of each structure relative to the most stable one, in kJ/mol of atoms, is as follows: version w 124.8; version x 0.0.

Version w
Ca2ZrRh: optimized geometry, PBE.

Geometry as extended XYZ:
```
16
Lattice="7.150 0.000 0.000 0.000 7.150 0.000 0.000 0.000 7.150" Properties=species:S:1:pos:R:3 pbc="T T T"
Ca 0.000 0.000 0.000
Ca 0.000 3.575 3.575
Ca 1.787 1.787 1.787
Ca 1.787 5.362 5.362
Ca 3.575 0.000 3.575
Ca 3.575 3.575 0.000
Ca 5.362 1.787 5.362
Ca 5.362 5.362 1.787
Zr 0.000 0.000 3.575
Zr 0.000 3.575 0.000
Zr 3.575 0.000 0.000
Zr 3.575 3.575 3.575
Rh 1.787 1.787 5.362
Rh 1.787 5.362 1.787
Rh 5.362 1.787 1.787
Rh 5.362 5.362 5.362
```

Calculated values
**Magnetic moment**: 0.0 μB/cell

Version x
Ca2ZrRh: optimized geometry, PBE.

Geometry as extended XYZ:
```
8
Lattice="3.417 0.000 0.000 0.000 4.103 0.000 0.000 0.000 16.935" Properties=species:S:1:pos:R:3 pbc="T T T"
Ca 0.000 0.000 2.689
Ca 0.000 0.000 14.246
Ca 1.708 2.051 5.778
Ca 1.708 2.051 11.157
Zr 0.000 2.051 0.000
Zr 1.708 0.000 8.468
Rh 0.000 2.051 8.468
Rh 1.708 0.000 0.000
```

Calculated values
**Magnetic moment**: 0.0 μB/cell

The energy of each structure relative to the most stable one, in kJ/mol of atoms, is as follows: version w 21.8; version x 0.0.